# 1
VASP calculation (GGA-PBEsol) on a geometry-optimized GaAg2 structure.

Summary:
For the formation energy, the calculation gives -0.075 eV per atom. As for the magnetization: 0.00 μB per formula unit. Its calculated total energy is -3.3962 eV per atom. As for the density of states at the Fermi level: 0.80 states/eV/f.u.

Geometry as CIF:
```
data_GaAg2
_chemical_formula_sum 'Ga3 Ag6'
_cell_length_a 7.6357
_cell_length_b 7.6357
_cell_length_c 2.8775
_cell_angle_alpha 90.00
_cell_angle_beta 90.00
_cell_angle_gamma 120.00
_space_group_name_H-M_alt 'P -6 2 m'
_space_group_IT_number 189
_space_group_name_Hall 'P -6 -2'
loop_
_atom_site_label
_atom_site_type_symbol
_atom_site_fract_x
_atom_site_fract_y
_atom_site_fract_z
Ga1 Ga 0.0000 0.0000 0.0000
Ga2 Ga 0.3333 0.6667 0.5000
Ag1 Ag 0.0000 0.3047 0.5000
Ag2 Ag 0.0000 0.6384 0.0000
```

=====

# 2
VASP calculation (GGA-PBEsol) on a geometry-optimized Al4InBr structure.

Summary:
As for the magnetization: 0.00 μB per formula unit. Its calculated total energy is -3.3722 eV per atom. As for the density of states at the Fermi level: 3.09 states/eV/f.u.

Geometry as CIF:
```
data_Al4InBr
_chemical_formula_sum 'Al16 In4 Br4'
_cell_length_a 7.917
_cell_length_b 7.917
_cell_length_c 7.917
_cell_angle_alpha 90.00
_cell_angle_beta 90.00
_cell_angle_gamma 90.00
_space_group_name_H-M_alt 'F -4 3 m'
_space_group_IT_number 216
_space_group_name_Hall 'F -4 2 3'
loop_
_atom_site_label
_atom_site_type_symbol
_atom_site_fract_x
_atom_site_fract_y
_atom_site_fract_z
Al1 Al 0.125 0.125 0.125
In1 In 0.000 0.000 0.500
Br1 Br 0.250 0.250 0.750
```

=====

# 3
VASP calculation (GGA-PBEsol) on a geometry-optimized NiRu5 structure.

Summary:
For the formation energy, the calculation gives 0.063 eV per atom. As for the magnetization: 0.00 μB per formula unit. Its calculated total energy is -9.4400 eV per atom. Its energy above the most stable polymorph in this dataset is 0.012 eV/atom. As for the density of states at the Fermi level: 5.84 states/eV/f.u.

Geometry as CIF:
```
data_NiRu5
_chemical_formula_sum 'Ni2 Ru10'
_cell_length_a 9.599
_cell_length_b 2.681
_cell_length_c 6.197
_cell_angle_alpha 90.00
_cell_angle_beta 103.82
_cell_angle_gamma 90.00
_space_group_name_H-M_alt 'C 1 m 1'
_space_group_IT_number 8
loop_
_space_group_symop_operation_xyz
'x,y,z'
'x,-y,z'
'x+1/2,y+1/2,z'
'x+1/2,-y+1/2,z'
loop_
_atom_site_label
_atom_site_type_symbol
_atom_site_fract_x
_atom_site_fract_y
_atom_site_fract_z
Ni1 Ni 0.000 0.000 0.000
Ru1 Ru 0.056 0.000 0.612
Ru2 Ru 0.167 0.500 0.333
Ru3 Ru 0.221 0.500 0.942
Ru4 Ru 0.334 0.000 0.667
Ru5 Ru 0.389 0.000 0.272
```

=====

# 4
VASP calculation (GGA-PBEsol) on a geometry-optimized SrYP2 structure.

Summary:
For the formation energy, the calculation gives -0.132 eV per atom. As for the magnetization: 0.00 μB per formula unit. Its calculated total energy is -5.1935 eV per atom. Its energy above the most stable polymorph in this dataset is 0.768 eV/atom. As for the density of states at the Fermi level: 3.00 states/eV/f.u.

Geometry as CIF:
```
data_SrYP2
_chemical_formula_sum 'Sr4 Y4 P8'
_cell_length_a 6.939
_cell_length_b 6.939
_cell_length_c 6.939
_cell_angle_alpha 90.00
_cell_angle_beta 90.00
_cell_angle_gamma 90.00
_space_group_name_H-M_alt 'F -4 3 m'
_space_group_IT_number 216
_space_group_name_Hall 'F -4 2 3'
loop_
_atom_site_label
_atom_site_type_symbol
_atom_site_fract_x
_atom_site_fract_y
_atom_site_fract_z
Sr1 Sr 0.000 0.000 0.000
Y1 Y 0.250 0.250 0.750
P1 P 0.000 0.000 0.500
P2 P 0.250 0.250 0.250
```

=====

# 5
VASP calculation (GGA-PBEsol) on a geometry-optimized MnP2Se structure.

Summary:
As for the magnetization: 2.27 μB per formula unit. Its calculated total energy is -5.7604 eV per atom. As for the density of states at the Fermi level: 2.35 states/eV/f.u.

Geometry as CIF:
```
data_MnP2Se
_chemical_formula_sum 'Mn4 P8 Se4'
_cell_length_a 6.110
_cell_length_b 6.110
_cell_length_c 6.110
_cell_angle_alpha 90.00
_cell_angle_beta 90.00
_cell_angle_gamma 90.00
_space_group_name_H-M_alt 'F m -3 m'
_space_group_IT_number 225
_space_group_name_Hall '-F 4 2 3'
loop_
_atom_site_label
_atom_site_type_symbol
_atom_site_fract_x
_atom_site_fract_y
_atom_site_fract_z
Mn1 Mn 0.000 0.000 0.000
P1 P 0.250 0.250 0.250
Se1 Se 0.000 0.000 0.500
```

=====

# 6
VASP calculation (GGA-PBEsol) on a geometry-optimized Zn2InRe structure.

Summary:
For the formation energy, the calculation gives 0.560 eV per atom. As for the magnetization: 0.00 μB per formula unit. Its calculated total energy is -4.3093 eV per atom. As for the density of states at the Fermi level: 2.21 states/eV/f.u.

Geometry as CIF:
```
data_Zn2InRe
_chemical_formula_sum 'Zn8 In4 Re4'
_cell_length_a 6.317
_cell_length_b 6.317
_cell_length_c 6.317
_cell_angle_alpha 90.00
_cell_angle_beta 90.00
_cell_angle_gamma 90.00
_space_group_name_H-M_alt 'F -4 3 m'
_space_group_IT_number 216
_space_group_name_Hall 'F -4 2 3'
loop_
_atom_site_label
_atom_site_type_symbol
_atom_site_fract_x
_atom_site_fract_y
_atom_site_fract_z
Zn1 Zn 0.000 0.000 0.000
Zn2 Zn 0.250 0.250 0.250
In1 In 0.000 0.000 0.500
Re1 Re 0.250 0.250 0.750
```

=====

# 7
VASP calculation (GGA-PBEsol) on a geometry-optimized FeIr2Cl structure.

Summary:
As for the magnetization: 3.94 μB per formula unit. Its calculated total energy is -6.6990 eV per atom. Its energy above the most stable polymorph in this dataset is 0.307 eV/atom. As for the density of states at the Fermi level: 4.49 states/eV/f.u.

Geometry as CIF:
```
data_FeIr2Cl
_chemical_formula_sum 'Fe4 Ir8 Cl4'
_cell_length_a 6.061
_cell_length_b 6.061
_cell_length_c 6.061
_cell_angle_alpha 90.00
_cell_angle_beta 90.00
_cell_angle_gamma 90.00
_space_group_name_H-M_alt 'F m -3 m'
_space_group_IT_number 225
_space_group_name_Hall '-F 4 2 3'
loop_
_atom_site_label
_atom_site_type_symbol
_atom_site_fract_x
_atom_site_fract_y
_atom_site_fract_z
Fe1 Fe 0.000 0.000 0.000
Ir1 Ir 0.250 0.250 0.250
Cl1 Cl 0.000 0.000 0.500
```

=====

# 8
VASP calculation (GGA-PBEsol) on a geometry-optimized ReAgBr structure.

Summary:
As for the magnetization: 0.00 μB per formula unit. Its calculated total energy is -5.2368 eV per atom. Its energy above the most stable polymorph in this dataset is 0.008 eV/atom. As for the density of states at the Fermi level: 2.07 states/eV/f.u.

Geometry as CIF:
```
data_ReAgBr
_chemical_formula_sum 'Re2 Ag2 Br2'
_cell_length_a 2.999
_cell_length_b 2.999
_cell_length_c 12.050
_cell_angle_alpha 90.00
_cell_angle_beta 90.00
_cell_angle_gamma 90.00
_space_group_name_H-M_alt 'I 4 m m'
_space_group_IT_number 107
_space_group_name_Hall 'I 4 -2'
loop_
_atom_site_label
_atom_site_type_symbol
_atom_site_fract_x
_atom_site_fract_y
_atom_site_fract_z
Re1 Re 0.000 0.000 0.000
Ag1 Ag 0.000 0.000 0.655
Br1 Br 0.000 0.000 0.380
```

=====

# 9
VASP calculation (GGA-PBEsol) on a geometry-optimized VO2F structure.

Summary:
As for the magnetization: 0.00 μB per formula unit. Its calculated total energy is -7.8876 eV per atom.

Geometry as CIF:
```
data_VO2F
_chemical_formula_sum 'V4 O8 F4'
_cell_length_a 5.042
_cell_length_b 5.052
_cell_length_c 8.844
_cell_angle_alpha 76.12
_cell_angle_beta 75.67
_cell_angle_gamma 62.12
_space_group_name_H-M_alt 'P -1'
_space_group_IT_number 2
loop_
_space_group_symop_operation_xyz
'x,y,z'
'-x,-y,-z'
loop_
_atom_site_label
_atom_site_type_symbol
_atom_site_fract_x
_atom_site_fract_y
_atom_site_fract_z
V1 V 0.000 0.000 0.000
V2 V 0.207 0.311 0.251
V3 V 0.500 0.500 0.500
O1 O 0.070 0.170 0.127
O2 O 0.124 0.550 0.625
O3 O 0.189 0.622 0.123
O4 O 0.448 0.306 0.377
F1 F 0.304 0.866 0.374
F2 F 0.374 0.951 0.874
```

=====

# 10
VASP calculation (GGA-PBEsol) on a geometry-optimized Ti2BAsS structure.

Summary:
As for the magnetization: 0.00 μB per formula unit. Its calculated total energy is -6.1659 eV per atom. As for the density of states at the Fermi level: 3.71 states/eV/f.u.

Geometry as CIF:
```
data_Ti2BAsS
_chemical_formula_sum 'Ti2 B1 As1 S1'
_cell_length_a 4.754
_cell_length_b 4.754
_cell_length_c 3.649
_cell_angle_alpha 90.00
_cell_angle_beta 90.00
_cell_angle_gamma 90.00
_space_group_name_H-M_alt 'P 4/m m m'
_space_group_IT_number 123
_space_group_name_Hall '-P 4 2'
loop_
_atom_site_label
_atom_site_type_symbol
_atom_site_fract_x
_atom_site_fract_y
_atom_site_fract_z
Ti1 Ti 0.000 0.500 0.000
B1 B 0.000 0.000 0.500
As1 As 0.000 0.000 0.000
S1 S 0.500 0.500 0.500
```

=====

# 11
VASP calculation (GGA-PBEsol) on a geometry-optimized YMnOs structure.

Summary:
For the formation energy, the calculation gives 0.583 eV per atom. As for the magnetization: 3.79 μB per formula unit. Its calculated total energy is -9.0162 eV per atom. Its energy above the most stable polymorph in this dataset is 0.000 eV/atom. As for the density of states at the Fermi level: 4.06 states/eV/f.u.

Geometry as CIF:
```
data_YMnOs
_chemical_formula_sum 'Y4 Mn4 Os4'
_cell_length_a 6.258
_cell_length_b 6.258
_cell_length_c 6.258
_cell_angle_alpha 90.00
_cell_angle_beta 90.00
_cell_angle_gamma 90.00
_space_group_name_H-M_alt 'F -4 3 m'
_space_group_IT_number 216
_space_group_name_Hall 'F -4 2 3'
loop_
_atom_site_label
_atom_site_type_symbol
_atom_site_fract_x
_atom_site_fract_y
_atom_site_fract_z
Y1 Y 0.000 0.000 0.000
Mn1 Mn 0.000 0.000 0.500
Os1 Os 0.250 0.250 0.250
```